A.
Compound: CaPt3Se
Source: Alexandria
Functional: PBE
Structure: optimized geometry

Lattice parameters (Å, degrees): 4.774 4.774 4.774 90.00 90.00 90.00
Fractional coordinates of all 5 atoms:
Ca  0.500  0.500  0.500
Se  0.000  0.000  0.000
Pt  0.000  0.500  0.000
Pt  0.000  0.000  0.500
Pt  0.500  0.000  0.000

## Properties
V (A^3/atom): 21.8
M_tot (μB per cell): 0.0
DOS(E_F) (states/eV per cell): 0.02



B.
Compound: CaPt3Se
Source: Alexandria
Functional: PBE
Structure: optimized geometry

Lattice parameters (Å, degrees): 4.963 4.963 4.963 90.00 90.00 90.00
Fractional coordinates of all 5 atoms:
Ca  0.000  0.000  0.000
Se  0.500  0.500  0.500
Pt  0.000  0.500  0.000
Pt  0.000  0.000  0.500
Pt  0.500  0.000  0.000

## Properties
V (A^3/atom): 24.4
M_tot (μB per cell): 0.0
DOS(E_F) (states/eV per cell): 5.14



On energetic grounds, A is preferred over the next structure by 1.528 eV/atom.



A.
Compound: CaSiPt3
Source: Alexandria
Functional: PBE
Structure: optimized geometry

Lattice parameters (Å, degrees): 5.458 5.684 6.431 116.23 90.00 90.00
Fractional coordinates of all 10 atoms:
Ca  0.250  0.379  0.758
Ca  0.750  0.621  0.242
Si  0.000  0.000  0.000
Si  0.500  0.000  0.000
Pt  0.250  0.828  0.655
Pt  0.750  0.172  0.345
Pt  0.250  0.375  0.252
Pt  0.750  0.625  0.748
Pt  0.250  0.876  0.252
Pt  0.750  0.124  0.748

## Properties
V (A^3/atom): 17.9
M_tot (μB per cell): 0.0
DOS(E_F) (states/eV per cell): 4.00



B.
Compound: CaSiPt3
Source: Alexandria
Functional: PBE
Structure: optimized geometry

Lattice parameters (Å, degrees): 4.956 4.956 4.956 90.00 90.00 90.00
Fractional coordinates of all 5 atoms:
Ca  0.000  0.000  0.000
Si  0.500  0.500  0.500
Pt  0.000  0.500  0.000
Pt  0.000  0.000  0.500
Pt  0.500  0.000  0.000

## Properties
V (A^3/atom): 24.3
M_tot (μB per cell): 0.0
DOS(E_F) (states/eV per cell): 2.76



On energetic grounds, A is preferred over the next structure by 2.220 eV/atom.



A.
Compound: CaSiPt3
Source: Alexandria
Functional: PBE
Structure: optimized geometry

Lattice parameters (Å, degrees): 5.572 7.951 6.579 127.17 115.05 90.00
Fractional coordinates of all 10 atoms:
Ca  0.250  0.291  0.500
Ca  0.750  0.709  0.500
Si  0.000  0.500  0.000
Si  0.500  0.000  0.000
Pt  0.736  0.236  0.972
Pt  0.236  0.236  0.972
Pt  0.764  0.764  0.028
Pt  0.264  0.764  0.028
Pt  0.250  0.866  0.500
Pt  0.750  0.134  0.500

## Properties
V (A^3/atom): 19.7
M_tot (μB per cell): 0.0
DOS(E_F) (states/eV per cell): 3.56



B.
Compound: CaSiPt3
Source: Alexandria
Functional: PBE
Structure: optimized geometry

Lattice parameters (Å, degrees): 4.621 4.621 4.621 90.00 90.00 90.00
Fractional coordinates of all 5 atoms:
Ca  0.500  0.500  0.500
Si  0.000  0.000  0.000
Pt  0.000  0.500  0.000
Pt  0.000  0.000  0.500
Pt  0.500  0.000  0.000

## Properties
V (A^3/atom): 19.7
M_tot (μB per cell): 0.0
DOS(E_F) (states/eV per cell): 2.16



On energetic grounds, A is preferred over the next structure by 0.242 eV/atom.



A.
Compound: Ca3Si2Pt4
Source: Alexandria
Functional: PBE
Structure: optimized geometry

Lattice parameters (Å, degrees): 4.289 5.745 8.411 107.60 90.00 111.92
Fractional coordinates of all 9 atoms:
Ca  0.626  0.251  0.697
Ca  0.000  0.000  0.000
Ca  0.374  0.749  0.303
Si  0.674  0.348  0.342
Si  0.326  0.652  0.658
Pt  0.721  0.441  0.087
Pt  0.279  0.559  0.913
Pt  0.893  0.785  0.577
Pt  0.107  0.215  0.423

## Properties
V (A^3/atom): 20.2
M_tot (μB per cell): 0.0
DOS(E_F) (states/eV per cell): 4.82



B.
Compound: Ca3Si2Pt4
Source: Alexandria
Functional: PBE
Structure: optimized geometry

Lattice parameters (Å, degrees): 4.145 5.737 8.622 102.01 90.00 111.18
Fractional coordinates of all 9 atoms:
Ca  0.385  0.770  0.618
Ca  0.000  0.000  0.000
Ca  0.615  0.230  0.382
Si  0.313  0.625  0.212
Si  0.687  0.375  0.788
Pt  0.718  0.436  0.087
Pt  0.097  0.194  0.635
Pt  0.903  0.806  0.365
Pt  0.282  0.564  0.913

## Properties
V (A^3/atom): 20.7
M_tot (μB per cell): 0.0
DOS(E_F) (states/eV per cell): 3.09



On energetic grounds, A is preferred over the next structure by 0.022 eV/atom.



A.
Compound: CaSm2Pt
Source: Alexandria
Functional: PBE
Structure: optimized geometry

Lattice parameters (Å, degrees): 4.140 4.140 9.777 77.78 77.78 60.00
Fractional coordinates of all 4 atoms:
Ca  0.500  0.500  0.500
Sm  0.279  0.279  0.164
Sm  0.721  0.721  0.836
Pt  0.000  0.000  0.000

## Properties
V (A^3/atom): 35.2
M_tot (μB per cell): 0.0
DOS(E_F) (states/eV per cell): 4.05



B.
Compound: CaSm2Pt
Source: Alexandria
Functional: PBE
Structure: optimized geometry

Lattice parameters (Å, degrees): 6.710 7.518 10.366 90.00 90.00 90.00
Fractional coordinates of all 16 atoms:
Ca  0.762  0.750  0.875
Ca  0.262  0.750  0.125
Ca  0.738  0.250  0.875
Ca  0.238  0.250  0.125
Sm  0.250  0.500  0.803
Sm  0.250  0.000  0.803
Sm  0.750  0.000  0.545
Sm  0.750  0.000  0.197
Sm  0.250  0.000  0.455
Sm  0.250  0.500  0.455
Sm  0.750  0.500  0.197
Sm  0.750  0.500  0.545
Pt  0.955  0.250  0.356
Pt  0.545  0.750  0.356
Pt  0.045  0.750  0.644
Pt  0.455  0.250  0.644

## Properties
V (A^3/atom): 32.7
M_tot (μB per cell): 0.0
DOS(E_F) (states/eV per cell): 12.52



C.
Compound: CaSm2Pt
Source: Alexandria
Functional: PBE
Structure: optimized geometry

Lattice parameters (Å, degrees): 4.186 4.186 9.558 77.35 77.35 60.00
Fractional coordinates of all 4 atoms:
Ca  0.501  0.501  0.496
Sm  0.054  0.054  0.838
Sm  0.278  0.278  0.165
Pt  0.666  0.666  0.002

## Properties
V (A^3/atom): 35.1
M_tot (μB per cell): 0.0
DOS(E_F) (states/eV per cell): 3.80



On energetic grounds, B is preferred over the next structure by 0.048 eV/atom.



A.
Compound: CaSm2Pt
Source: Alexandria
Functional: PBE
Structure: optimized geometry

Lattice parameters (Å, degrees): 3.613 3.613 9.508 90.00 90.00 90.00
Fractional coordinates of all 4 atoms:
Ca  0.500  0.500  0.500
Sm  0.000  0.000  0.825
Sm  0.000  0.000  0.175
Pt  0.500  0.500  0.000

## Properties
V (A^3/atom): 31.0
M_tot (μB per cell): 0.0
DOS(E_F) (states/eV per cell): 4.52



B.
Compound: CaSm2Pt
Source: Alexandria
Functional: PBE
Structure: optimized geometry

Lattice parameters (Å, degrees): 4.058 6.580 9.287 90.00 90.00 107.94
Fractional coordinates of all 8 atoms:
Ca  0.932  0.864  0.250
Ca  0.068  0.136  0.750
Sm  0.357  0.713  0.560
Sm  0.643  0.287  0.440
Sm  0.357  0.713  0.940
Sm  0.643  0.287  0.060
Pt  0.763  0.526  0.750
Pt  0.237  0.474  0.250

## Properties
V (A^3/atom): 29.5
M_tot (μB per cell): 0.0
DOS(E_F) (states/eV per cell): 9.63



On energetic grounds, B is preferred over the next structure by 0.076 eV/atom.



A.
Compound: CaSmPt2
Source: Alexandria
Functional: PBE
Structure: optimized geometry

Lattice parameters (Å, degrees): 3.932 4.413 5.736 90.00 109.96 90.00
Fractional coordinates of all 4 atoms:
Ca  0.724  0.000  0.987
Sm  0.443  0.500  0.424
Pt  0.165  0.500  0.869
Pt  0.000  0.000  0.538

## Properties
V (A^3/atom): 23.4
M_tot (μB per cell): 0.0
DOS(E_F) (states/eV per cell): 1.49



B.
Compound: CaSmPt2
Source: Alexandria
Functional: PBE
Structure: optimized geometry

Lattice parameters (Å, degrees): 4.069 4.069 7.418 74.08 74.08 60.00
Fractional coordinates of all 4 atoms:
Ca  0.497  0.497  0.508
Sm  0.669  0.669  0.994
Pt  0.083  0.083  0.750
Pt  0.251  0.251  0.247

## Properties
V (A^3/atom): 25.2
M_tot (μB per cell): 0.0
DOS(E_F) (states/eV per cell): 2.20



On energetic grounds, A is preferred over the next structure by 0.186 eV/atom.



A.
Compound: CaSmPt2
Source: Alexandria
Functional: PBE
Structure: optimized geometry

Lattice parameters (Å, degrees): 4.983 4.983 4.983 60.00 60.00 60.00
Fractional coordinates of all 4 atoms:
Ca  0.500  0.500  0.500
Sm  0.000  0.000  0.000
Pt  0.250  0.250  0.250
Pt  0.750  0.750  0.750

## Properties
V (A^3/atom): 21.9
M_tot (μB per cell): 0.0
DOS(E_F) (states/eV per cell): 1.68



B.
Compound: CaSmPt2
Source: Alexandria
Functional: PBE
Structure: optimized geometry

Lattice parameters (Å, degrees): 3.535 3.535 7.072 90.00 90.00 90.00
Fractional coordinates of all 4 atoms:
Ca  0.500  0.500  0.000
Sm  0.500  0.500  0.500
Pt  0.000  0.000  0.739
Pt  0.000  0.000  0.261

## Properties
V (A^3/atom): 22.1
M_tot (μB per cell): 0.0
DOS(E_F) (states/eV per cell): 0.66



On energetic grounds, B is preferred over the next structure by 0.018 eV/atom.